# RbH2Ru (PBE, optimized geometry)
data_RbH2Ru
_chemical_formula_sum 'Rb4 H8 Ru4'
_cell_length_a 5.614
_cell_length_b 5.614
_cell_length_c 7.784
_cell_angle_alpha 90.00
_cell_angle_beta 90.00
_cell_angle_gamma 90.00
_symmetry_space_group_name_H-M 'I -4 2 d'
_symmetry_Int_Tables_number 122
_symmetry_space_group_name_Hall 'I -4 2bw'
loop_
_atom_site_label
_atom_site_fract_x
_atom_site_fract_y
_atom_site_fract_z
Rb1 0.000 0.000 0.000
H1 0.070 0.750 0.625
Ru1 0.000 0.000 0.500
# Total moment ... 2.361 μB/cell
# Energy above the lowest structure with this stoichiometry ... 0.00 eV/f.u.

# CsNpBeTe3 (PBE, optimized geometry)
data_CsNpBeTe3
_chemical_formula_sum 'Cs2 Np2 Be2 Te6'
_cell_length_a 10.639
_cell_length_b 4.336
_cell_length_c 10.687
_cell_angle_alpha 90.00
_cell_angle_beta 112.63
_cell_angle_gamma 90.00
_symmetry_space_group_name_H-M 'P 1 21/m 1'
_symmetry_Int_Tables_number 11
loop_
_symmetry_equiv_pos_as_xyz
'x,y,z'
'-x,-y,-z'
'-x,y+1/2,-z'
'x,-y+1/2,z'
loop_
_atom_site_label
_atom_site_fract_x
_atom_site_fract_y
_atom_site_fract_z
Cs1 0.217 0.250 0.246
Np1 0.327 0.750 0.856
Be1 0.083 0.250 0.611
Te1 0.114 0.250 0.849
Te2 0.168 0.750 0.535
Te3 0.476 0.750 0.169
# Total moment ... 8.000 μB/cell
# E_form (uncorrected) ... -0.675 eV/atom

# EuThMgGa (PBE, optimized geometry)
data_EuThMgGa
_chemical_formula_sum 'Eu4 Th4 Mg4 Ga4'
_cell_length_a 7.570
_cell_length_b 7.570
_cell_length_c 7.570
_cell_angle_alpha 90.00
_cell_angle_beta 90.00
_cell_angle_gamma 90.00
_symmetry_space_group_name_H-M 'F -4 3 m'
_symmetry_Int_Tables_number 216
_symmetry_space_group_name_Hall 'F -4 2 3'
loop_
_atom_site_label
_atom_site_fract_x
_atom_site_fract_y
_atom_site_fract_z
Eu1 0.000 0.000 0.000
Th1 0.000 0.000 0.500
Mg1 0.250 0.250 0.750
Ga1 0.250 0.250 0.250
# Total moment ... 29.622 μB/cell
# E ... -5.730 eV/atom

# CrMo2 (PBE, optimized geometry)
data_CrMo2
_chemical_formula_sum 'Cr4 Mo8'
_cell_length_a 3.085
_cell_length_b 12.954
_cell_length_c 4.362
_cell_angle_alpha 90.00
_cell_angle_beta 90.00
_cell_angle_gamma 90.00
_symmetry_space_group_name_H-M 'C m c m'
_symmetry_Int_Tables_number 63
_symmetry_space_group_name_Hall '-C 2c 2'
loop_
_atom_site_label
_atom_site_fract_x
_atom_site_fract_y
_atom_site_fract_z
Cr1 0.000 0.081 0.250
Mo1 0.000 0.252 0.750
Mo2 0.000 0.421 0.250
# Total moment ... 0.000 μB/cell
# Energy above the lowest structure with this stoichiometry ... 0.00 eV/f.u.

# PmPtBr (PBE, optimized geometry)
data_PmPtBr
_chemical_formula_sum 'Pm4 Pt4 Br4'
_cell_length_a 7.402
_cell_length_b 4.274
_cell_length_c 11.516
_cell_angle_alpha 90.00
_cell_angle_beta 91.24
_cell_angle_gamma 90.00
_symmetry_space_group_name_H-M 'C 1 2/m 1'
_symmetry_Int_Tables_number 12
loop_
_symmetry_equiv_pos_as_xyz
'x,y,z'
'-x,-y,-z'
'-x,y,-z'
'x,-y,z'
'x+1/2,y+1/2,z'
'-x+1/2,-y+1/2,-z'
'-x+1/2,y+1/2,-z'
'x+1/2,-y+1/2,z'
loop_
_atom_site_label
_atom_site_fract_x
_atom_site_fract_y
_atom_site_fract_z
Pm1 0.006 0.000 0.178
Pt1 0.165 0.500 0.956
Br1 0.178 0.500 0.339
# Total moment ... 0.000 μB/cell
# Energy above the lowest structure with this stoichiometry ... 0.00 eV/f.u.
# E_form (uncorrected) ... -1.406 eV/atom

# CsTl2Hg8 (PBE, optimized geometry)
data_CsTl2Hg8
_chemical_formula_sum 'Cs1 Tl2 Hg8'
_cell_length_a 4.920
_cell_length_b 4.920
_cell_length_c 15.131
_cell_angle_alpha 90.00
_cell_angle_beta 90.00
_cell_angle_gamma 90.00
_symmetry_space_group_name_H-M 'P 4/m m m'
_symmetry_Int_Tables_number 123
_symmetry_space_group_name_Hall '-P 4 2'
loop_
_atom_site_label
_atom_site_fract_x
_atom_site_fract_y
_atom_site_fract_z
Cs1 0.000 0.000 0.000
Tl1 0.000 0.000 0.354
Hg1 0.000 0.500 0.194
Hg2 0.000 0.500 0.500
Hg3 0.500 0.500 0.351
# Total moment ... 0.000 μB/cell
# E ... -0.820 eV/atom

# MgRe2Hg (PBE, optimized geometry)
data_MgRe2Hg
_chemical_formula_sum 'Mg1 Re2 Hg1'
_cell_length_a 3.047
_cell_length_b 3.047
_cell_length_c 7.553
_cell_angle_alpha 90.00
_cell_angle_beta 90.00
_cell_angle_gamma 90.00
_symmetry_space_group_name_H-M 'P 4 m m'
_symmetry_Int_Tables_number 99
loop_
_symmetry_equiv_pos_as_xyz
'x,y,z'
'-y,x,z'
'-x,-y,z'
'y,-x,z'
'-x,y,z'
'y,x,z'
'x,-y,z'
'-y,-x,z'
loop_
_atom_site_label
_atom_site_fract_x
_atom_site_fract_y
_atom_site_fract_z
Mg1 0.000 0.000 0.000
Re1 0.000 0.000 0.437
Re2 0.500 0.500 0.250
Hg1 0.500 0.500 0.721
# Total moment ... 0.000 μB/cell
# Energy above the lowest structure with this stoichiometry ... 0.00 eV/f.u.

# Sm8Y2Mg (PBE, optimized geometry)
data_Sm8Y2Mg
_chemical_formula_sum 'Sm16 Y4 Mg2'
_cell_length_a 16.346
_cell_length_b 6.719
_cell_length_c 6.778
_cell_angle_alpha 90.00
_cell_angle_beta 101.26
_cell_angle_gamma 90.00
_symmetry_space_group_name_H-M 'C 1 2/m 1'
_symmetry_Int_Tables_number 12
loop_
_symmetry_equiv_pos_as_xyz
'x,y,z'
'-x,-y,-z'
'-x,y,-z'
'x,-y,z'
'x+1/2,y+1/2,z'
'-x+1/2,-y+1/2,-z'
'-x+1/2,y+1/2,-z'
'x+1/2,-y+1/2,z'
loop_
_atom_site_label
_atom_site_fract_x
_atom_site_fract_y
_atom_site_fract_z
Sm1 0.081 0.240 0.384
Sm2 0.097 0.000 0.917
Sm3 0.246 0.500 0.322
Y1 0.185 0.500 0.800
Mg1 0.000 0.500 0.000
# Total moment ... 0.000 μB/cell
# Energy above the lowest structure with this stoichiometry ... 0.44 eV/f.u.

# PuMoN (PBE, optimized geometry)
data_PuMoN
_chemical_formula_sum 'Pu4 Mo4 N4'
_cell_length_a 11.392
_cell_length_b 3.029
_cell_length_c 5.186
_cell_angle_alpha 90.00
_cell_angle_beta 90.00
_cell_angle_gamma 90.00
_symmetry_space_group_name_H-M 'A m m 2'
_symmetry_Int_Tables_number 38
loop_
_symmetry_equiv_pos_as_xyz
'x,y,z'
'-x,-y,z'
'-x,y,z'
'x,-y,z'
'x,y+1/2,z+1/2'
'-x,-y+1/2,z+1/2'
'-x,y+1/2,z+1/2'
'x,-y+1/2,z+1/2'
loop_
_atom_site_label
_atom_site_fract_x
_atom_site_fract_y
_atom_site_fract_z
Pu1 0.142 0.000 0.000
Mo1 0.382 0.000 0.365
N1 0.000 0.000 0.331
N2 0.500 0.000 0.030
# Total moment ... 17.994 μB/cell
# Energy above the lowest structure with this stoichiometry ... 0.00 eV/f.u.
# E_form (uncorrected) ... -0.089 eV/atom

# TlSn4Pb (PBE, optimized geometry)
data_TlSn4Pb
_chemical_formula_sum 'Tl1 Sn4 Pb1'
_cell_length_a 5.5254
_cell_length_b 5.5254
_cell_length_c 6.5144
_cell_angle_alpha 90.00
_cell_angle_beta 90.00
_cell_angle_gamma 120.00
_symmetry_space_group_name_H-M 'P 6/m m m'
_symmetry_Int_Tables_number 191
_symmetry_space_group_name_Hall '-P 6 2'
loop_
_atom_site_label
_atom_site_fract_x
_atom_site_fract_y
_atom_site_fract_z
Tl1 0.0000 0.0000 0.0000
Sn1 0.3333 0.6667 0.2517
Pb1 0.0000 0.0000 0.5000
# Total moment ... 0.000 μB/cell
# Energy above the lowest structure with this stoichiometry ... 0.00 eV/f.u.

# Ce2YPu (PBE, optimized geometry)
data_Ce2YPu
_chemical_formula_sum 'Ce6 Y3 Pu3'
_cell_length_a 3.5731
_cell_length_b 3.5731
_cell_length_c 29.5759
_cell_angle_alpha 90.00
_cell_angle_beta 90.00
_cell_angle_gamma 120.00
_symmetry_space_group_name_H-M 'R -3 m'
_symmetry_Int_Tables_number 166
_symmetry_space_group_name_Hall '-R 3 2"'
loop_
_atom_site_label
_atom_site_fract_x
_atom_site_fract_y
_atom_site_fract_z
Ce1 0.0000 0.0000 0.1133
Y1 0.0000 0.0000 0.0000
Pu1 0.0000 0.0000 0.5000
# Total moment ... 4.073 μB/cell
# Energy above the lowest structure with this stoichiometry ... 1.35 eV/f.u.

# AlNiAgSe (PBE, optimized geometry)
data_AlNiAgSe
_chemical_formula_sum 'Al1 Ni1 Ag1 Se1'
_cell_length_a 3.8427
_cell_length_b 3.8427
_cell_length_c 5.5106
_cell_angle_alpha 90.00
_cell_angle_beta 90.00
_cell_angle_gamma 120.00
_symmetry_space_group_name_H-M 'P 3 m 1'
_symmetry_Int_Tables_number 156
loop_
_symmetry_equiv_pos_as_xyz
'x,y,z'
'-y,x-y,z'
'-x+y,-x,z'
'-y,-x,z'
'-x+y,y,z'
'x,x-y,z'
loop_
_atom_site_label
_atom_site_fract_x
_atom_site_fract_y
_atom_site_fract_z
Al1 0.0000 0.0000 0.0000
Ni1 0.6667 0.3333 0.8272
Ag1 0.6667 0.3333 0.3042
Se1 0.3333 0.6667 0.6464
# Total moment ... 0.000 μB/cell
# Energy above the lowest structure with this stoichiometry ... 0.00 eV/f.u.
# E_form (uncorrected) ... -0.233 eV/atom